(1)
Computed, not measured: a relaxed ScAlAs crystal at the PBE-GGA level of DFT.

Output
The calculation puts the mass density at 3.72 g cm⁻³. The formation energy from the elements comes out at -0.194 eV per atom. Its density of states at the Fermi level is 1.235 states/eV/atom.

Geometry as extended XYZ:
```
3
Lattice="0.000 3.200 3.200 3.200 0.000 3.200 3.200 3.200 0.000" Properties=species:S:1:pos:R:3 pbc="T T T"
Sc 0.000 0.000 0.000
Al 3.200 3.200 3.200
As 1.600 1.600 1.600
```

=====

(2)
Computed, not measured: a relaxed PrNdIn6 crystal at the PBE-GGA level of DFT.

Output
The calculation puts the mass density at 7.64 g cm⁻³. The formation energy from the elements comes out at -0.423 eV per atom. For the offset from the most stable computed form, the calculation gives 0.050 eV/atom. Its density of states at the Fermi level is 0.492 states/eV/atom.

Geometry as extended XYZ:
```
8
Lattice="5.238 0.000 0.000 0.000 3.419 5.913 0.000 -3.419 5.913" Properties=species:S:1:pos:R:3 pbc="T T T"
Pr 0.000 0.000 0.000
Nd 2.619 0.000 7.893
In 0.000 -1.616 3.012
In 0.000 1.616 3.012
In 0.000 0.000 5.817
In 2.619 0.000 2.086
In 2.619 -1.607 4.876
In 2.619 1.607 4.876
```

=====

(3)
Computed, not measured: a relaxed TlClF2 crystal at the PBE-GGA level of DFT.

Output
The calculation puts the mass density at 4.30 g cm⁻³. For the offset from the most stable computed form, the calculation gives 0.231 eV/atom. The calculation puts the uncorrected formation energy at -1165 meV per atom. Its density of states at the Fermi level is 0.000 states/eV/atom.

Geometry as extended XYZ:
```
4
Lattice="2.282 1.317 5.949 -2.282 1.317 5.949 0.000 -2.635 5.949" Properties=species:S:1:pos:R:3 pbc="T T T"
Tl 0.000 0.000 0.000
Cl 0.000 0.000 8.924
F 0.000 0.000 7.021
F 0.000 0.000 10.827
```

=====

(4)
Computed, not measured: a relaxed Cs2AcHoSe4 crystal at the PBE-GGA level of DFT.

Output
The calculation puts the mass density at 5.60 g cm⁻³. The calculation puts the uncorrected formation energy at -1744 meV per atom. Its density of states at the Fermi level is 0.000 states/eV/atom.

Geometry as extended XYZ:
```
8
Lattice="7.711 0.000 0.000 0.000 4.446 0.000 -2.553 0.000 8.414" Properties=species:S:1:pos:R:3 pbc="T T T"
Cs 0.000 0.000 0.000
Cs 3.855 2.223 0.000
Ac -1.277 2.223 4.207
Ho 2.579 0.000 4.207
Se 0.159 0.000 5.833
Se 1.420 2.223 2.639
Se 3.737 2.223 5.775
Se 4.998 0.000 2.581
```

=====

(5)
Computed, not measured: a relaxed Be2TeP crystal at the PBE-GGA level of DFT.

Output
The calculation puts the mass density at 4.44 g cm⁻³. For the offset from the most stable computed form, the calculation gives 0.755 eV/atom. The calculation puts the uncorrected formation energy at 625 meV per atom. Its density of states at the Fermi level is 0.478 states/eV/atom.

Geometry as extended XYZ:
```
4
Lattice="-1.737 1.737 5.471 1.737 -1.737 5.471 1.737 1.737 -5.471" Properties=species:S:1:pos:R:3 pbc="T T T"
Be 0.000 0.000 0.000
Be 0.000 1.737 2.735
Te 0.000 0.000 5.471
P 1.737 0.000 2.735
```

=====

(6)
Computed, not measured: a relaxed DyY2Ir9 crystal at the PBE-GGA level of DFT.

Output
The calculation puts the mass density at 16.02 g cm⁻³. The formation energy from the elements comes out at -0.580 eV per atom. Its density of states at the Fermi level is 0.995 states/eV/atom.

Geometry as extended XYZ:
```
12
Lattice="2.655 1.533 8.789 -2.655 1.533 8.789 0.000 -3.066 8.789" Properties=species:S:1:pos:R:3 pbc="T T T"
Dy 0.000 0.000 0.000
Y 0.000 0.000 3.671
Y 0.000 0.000 22.695
Ir -1.324 -0.764 10.950
Ir 0.000 0.000 8.773
Ir 0.000 -1.528 15.417
Ir -1.324 0.764 15.417
Ir 0.000 0.000 13.183
Ir 1.324 -0.764 10.950
Ir 0.000 1.528 10.950
Ir 0.000 0.000 17.594
Ir 1.324 0.764 15.417
```

=====

- Which formula does entry 6 have?
  DyY2Ir9

=====

- Look up the mass density of the second one.
  7.64 g cm⁻³

=====

- Which formula does entry 4 have?
  Cs2AcHoSe4